# PBE CsRbLa2Re, relaxed
data_CsRbLa2Re
_cell_length_a 6.0295
_cell_length_b 6.0295
_cell_length_c 5.1828
_cell_angle_alpha 90.00
_cell_angle_beta 90.00
_cell_angle_gamma 90.00
_space_group_name_H-M_alt 'P 1'
_space_group_IT_number 1
loop_
_space_group_symop_operation_xyz
'x,y,z'
loop_
_atom_site_label
_atom_site_fract_x
_atom_site_fract_y
_atom_site_fract_z
Cs1 0.0000 0.0000 0.0000
Rb1 0.5000 0.5000 0.5000
La1 0.0000 0.5000 0.0000
La2 0.5000 0.0000 0.0000
Re1 0.0000 0.0000 0.5000
# ΔH_f (0 K) = 1.741 eV/atom